Here is a relaxed Rb2CaScCu crystal from Alexandria. Energies are from PBEsol.

```
Rb2CaScCu
1.0
-3.630 -1.799 -3.371
4.195 -4.134 -2.311
-1.856 -4.275 4.279
Sc Ca Cu Rb
1 1 1 2
direct
0.500 0.000 0.000
0.500 0.500 0.500
0.000 0.000 0.000
0.000 0.000 0.500
0.000 0.500 0.000
```

Properties
Crystal system   tetragonal
Calculated formation energy   62.5 kJ/mol of atoms
Total magnetization   0.00 Bohr magnetons per cell